[1]
Nd2Tm4MgSc | PBE | optimized geometry

POSCAR file:
```
Nd2Tm4MgSc
1.0
-3.3849 1.6827 -3.1317
0.8951 -3.7977 -3.0081
-6.0340 -9.1061 1.6289
Mg Tm Sc Nd
1 4 1 2
Direct
0.5000 0.5000 0.0000
0.5000 0.2557 0.7449
0.5000 0.7443 0.2551
0.0000 0.2454 0.2542
0.0000 0.7546 0.7458
0.0000 0.5000 0.5000
0.5000 0.0000 0.5000
0.0000 0.0000 0.0000
```

Calculated values
**Energy of formation from the pure elements**: 0.4 eV/f.u.
**Spin magnetization**: 0.001 μB/cell
**Calculated volume**: 239.04 Å³/cell

---

[2]
Nd2Y4MgSc | PBE | optimized geometry

POSCAR file:
```
Nd2Y4MgSc
1.0
4.9849 0.0000 0.0000
0.0000 4.9005 0.9755
0.0000 2.9648 10.7301
Nd Y Sc Mg
2 4 1 1
Direct
0.5000 0.0000 0.5000
0.0000 0.0000 0.0000
0.5000 0.2543 0.7459
0.0000 0.2463 0.2535
0.0000 0.7537 0.7465
0.5000 0.7457 0.2541
0.0000 0.5000 0.5000
0.5000 0.5000 0.0000
```

Calculated values
**Energy of formation from the pure elements**: 0.3 eV/f.u.
**Spin magnetization**: 0.000 μB/cell
**Calculated volume**: 247.70 Å³/cell

---

These records have density of states at the Fermi level values of 12.8; 13.3 states/eV/f.u., in the order they appear.